Density functional theory data (PBE) for YBeCr after structural relaxation.

Structure (POSCAR):
```
YBeCr
1.0
4.031 0.000 0.000
-2.016 3.491 0.000
0.000 0.000 3.939
Be Y Cr
1 1 1
direct
0.000 0.000 0.166
0.333 0.667 0.667
0.667 0.333 0.167
```

Calculated values
The space group is No. 187. Its energy relative to the lowest polymorph listed for this composition is 0 meV per atom. For the calculated formation energy, the calculation gives 0.321 eV per atom.

=====

Density functional theory data (PBE) for CePrPtSe after structural relaxation.

Structure (POSCAR):
```
CePrPtSe
1.0
-1.546 3.827 0.251
-3.995 0.675 -0.828
-3.499 0.370 6.854
Ce Pt Se Pr
1 1 1 1
direct
0.994 0.994 0.019
0.253 0.253 0.240
0.748 0.748 0.756
0.505 0.505 0.485
```

Calculated values
The space group is No. 160. As for the raw formation energy: -539 kJ/mol of formula units.

=====

Density functional theory data (PBE) for Cs5Au2I after structural relaxation.

Structure (POSCAR):
```
Cs5Au2I
1.0
9.751 0.000 0.000
0.000 9.751 0.000
-4.875 -4.875 9.067
Au Cs I
4 10 2
direct
0.391 0.891 0.000
0.609 0.109 0.000
0.109 0.391 0.000
0.891 0.609 0.000
0.307 0.807 0.270
0.537 0.693 0.730
0.500 0.500 0.000
0.000 0.000 0.000
0.807 0.963 0.270
0.963 0.463 0.270
0.193 0.037 0.730
0.463 0.307 0.270
0.037 0.537 0.730
0.693 0.193 0.730
0.250 0.250 0.500
0.750 0.750 0.500
```

Calculated values
The space group is No. 140. As for the raw formation energy: -396 kJ/mol of formula units.

=====

Density functional theory data (PBE) for CaCdMo2 after structural relaxation.

Structure (POSCAR):
```
CaCdMo2
1.0
10.473 -0.013 -0.008
10.063 2.902 -0.008
10.063 1.416 2.533
Ca Cd Mo
1 1 2
direct
0.250 0.250 0.250
0.750 0.750 0.750
0.004 0.004 0.004
0.496 0.496 0.496
```

Calculated values
The space group is No. 166. For the calculated formation energy, the calculation gives 0.830 eV per atom.